# TaSnRh2 (PBE, optimized geometry)
# - Energy of formation from the pure elements: 333 meV/atom
# - DOS at the Fermi energy: 1.81 states/eV/f.u.
# - Energy: -7.31 eV/atom
# - Size of the total moment: 0.000 μB/f.u.
# - Theoretical density: 8.57 g/cm³
data_TaSnRh2
_cell_length_a 5.9057
_cell_length_b 5.9057
_cell_length_c 11.2314
_cell_angle_alpha 90.00
_cell_angle_beta 90.00
_cell_angle_gamma 90.00
_symmetry_space_group_name_H-M 'I -4 2 d'
_symmetry_Int_Tables_number 122
_symmetry_space_group_name_Hall 'I -4 2bw'
loop_
_atom_site_label
_atom_site_fract_x
_atom_site_fract_y
_atom_site_fract_z
Ta1 0.0000 0.0000 0.0000
Sn1 0.0000 0.0000 0.5000
Rh1 0.2317 0.2500 0.1250